(1)
ErTh2Sb3, relaxed, DFT PBE-GGA; total moment = 0.00 μB/atom; E = -37.5 eV/cell; DOS(E_F) = 3.0 states/eV/cell; ρ = 8.8 g/cm3; calculated volume = 31.3 Å³ per atom
1.0
4.446 0.000 0.000
0.000 6.316 0.000
-2.223 -3.158 6.696
Er Th Sb
1 2 3
Cartesian
0.000 3.158 0.000
2.223 0.000 2.256
0.000 3.158 4.440
0.000 0.000 4.554
0.000 0.000 0.000
2.223 3.158 2.142



(2)
TcWAu, relaxed, DFT PBE-GGA; energy above the most stable polymorph in this dataset = 0.000 eV/atom; total moment = 0.00 μB/atom; E = -25.8 eV/cell; DOS(E_F) = 1.8 states/eV/cell; ρ = 16.2 g/cm3; calculated volume = 16.4 Å³ per atom
1.0
-2.146 3.867 -2.507
-4.191 -0.309 -2.860
1.859 -1.295 4.551
Au Tc W
1 1 1
Cartesian
-0.011 0.006 -0.009
-2.003 1.124 -1.696
-4.323 2.427 -3.662



(3)
NaHf3Sc2N6, relaxed, DFT PBE-GGA; total moment = 0.00 μB/atom; E = -113.8 eV/cell; DOS(E_F) = 1.6 states/eV/cell; ρ = 8.6 g/cm3; calculated volume = 11.8 Å³ per atom
1.0
3.215 0.000 0.000
0.000 6.485 0.226
-1.607 -1.875 6.738
Na Hf Sc N
1 3 2 6
Cartesian
1.607 0.000 0.000
1.607 3.243 0.113
1.607 -0.205 4.585
0.000 4.816 2.378
1.607 3.091 4.666
0.000 1.520 2.298
0.000 4.731 4.600
1.607 3.190 2.370
1.607 -0.121 2.364
1.607 -0.094 6.765
0.000 4.704 0.199
0.000 1.421 4.594



(4)
CaSm3Mg8, relaxed, DFT PBE-GGA; total moment = 0.00 μB/atom; E = -30.1 eV/cell; DOS(E_F) = 10.1 states/eV/cell; ρ = 3.5 g/cm3; calculated volume = 27.0 Å³ per atom
1.0
-0.634 4.234 4.389
-5.598 1.676 1.858
-1.921 -5.192 9.015
Ca Sm Mg
1 3 8
Cartesian
-6.173 3.221 8.850
-4.018 -2.312 10.215
-1.921 -5.172 8.995
-4.076 0.330 7.658
-3.406 3.746 6.597
-6.849 -0.169 9.870
-3.089 1.633 4.407
-7.168 1.959 12.076
-2.009 -1.175 5.126
-6.085 -0.805 12.746
-5.883 2.469 5.334
-4.355 1.117 11.142



(5)
BaBN3, relaxed, DFT PBE-GGA; total moment = 0.77 μB/atom; E = -17.3 eV/cell; DOS(E_F) = 2.8 states/eV/cell; ρ = 3.0 g/cm3; calculated volume = 21.3 Å³ per atom
1.0
-2.505 2.418 -3.220
-3.883 -0.445 2.686
1.068 4.055 2.215
B Ba N
1 1 3
Cartesian
-2.660 3.014 0.841
0.000 0.000 0.000
-1.941 -0.223 1.343
0.534 2.027 1.108
-1.252 1.209 -1.610



(6)
TlReW, relaxed, DFT PBE-GGA; energy above the most stable polymorph in this dataset = 0.467 eV/atom; total moment = 0.00 μB/atom; E = -24.4 eV/cell; DOS(E_F) = 4.1 states/eV/cell; ρ = 15.4 g/cm3; calculated volume = 20.6 Å³ per atom
1.0
4.439 0.000 0.000
2.220 3.845 0.000
2.220 1.282 3.625
Re Tl W
1 1 1
Cartesian
6.659 3.845 2.718
0.000 0.000 0.000
4.439 2.563 1.812



(7)
K3Pm3TmSe8, relaxed, DFT PBE-GGA; total moment = 0.00 μB/atom; E = -74.9 eV/cell; DOS(E_F) = 10.3 states/eV/cell; ρ = 4.6 g/cm3; calculated volume = 32.6 Å³ per atom
1.0
8.482 0.000 0.000
-4.241 7.352 -0.030
0.000 -4.874 7.870
K Pm Tm Se
3 3 1 8
Cartesian
0.000 0.000 0.000
-2.120 3.676 -0.015
2.121 3.676 -0.015
4.241 -2.437 3.935
2.121 1.239 3.920
-2.120 1.239 3.920
0.000 -2.437 3.935
0.000 2.459 2.262
4.241 0.020 5.578
4.241 2.530 2.326
0.000 -0.052 5.514
6.423 -1.253 2.342
-2.182 3.732 5.498
2.059 -1.253 2.342
2.183 3.732 5.498



(8)
PRu3, relaxed, DFT PBE-GGA; energy above the most stable polymorph in this dataset = 0.559 eV/atom; total moment = 0.01 μB/atom; E = -31.7 eV/cell; DOS(E_F) = 6.4 states/eV/cell; ρ = 9.9 g/cm3; calculated volume = 14.0 Å³ per atom
1.0
0.199 0.739 -4.792
-4.258 -1.520 1.763
2.471 3.134 2.761
P Ru
1 3
Cartesian
0.000 0.000 0.000
1.335 1.937 -1.015
-0.893 0.807 2.262
-2.029 -0.390 -1.514